Record 1
First-principles (GGA-PBE) data for a relaxed structure of Sc2Ag4I, as listed in Alexandria via LeMat-Bulk.

Properties
**Total DFT energy (no corrections)**: -2.9497 eV per atom
**Symmetry**: I4/mmm (139)

a = 5.459 Å, b = 5.459 Å, c = 8.086 Å
α = 70.27°, β = 70.27°, γ = 90.00°
Last column: magnetic moment on the atom in μB.
Fractional coordinates of all 7 atoms:
Sc 0.398 0.398 0.204  -0.41
Sc 0.602 0.602 0.796  -0.41
Ag 0.000 0.500 0.000  -0.03
Ag 0.794 0.794 0.412  -0.01
Ag 0.500 0.000 0.000  -0.03
Ag 0.206 0.206 0.588  -0.01
I 0.000 0.000 0.000  -0.03

Record 2
First-principles (GGA-PBE) data for a relaxed structure of CaZrAs2, as listed in Alexandria via LeMat-Bulk.

Properties
**Energy above the most stable polymorph in this dataset**: 0.305 eV/atom
**Total DFT energy (no corrections)**: -5.8368 eV per atom
**Symmetry**: P2/m (10)
**Energy of formation**: -875 meV per atom

a = 3.586 Å, b = 3.366 Å, c = 7.514 Å
α = 73.01°, β = 90.00°, γ = 90.00°
Fractional coordinates of all 4 atoms:
As 0.000 0.479 0.526
As 0.000 0.021 0.974
Ca 0.500 0.250 0.250
Zr 0.500 0.750 0.750

Record 3
First-principles (GGA-PBE) data for a relaxed structure of LaNb2Co2, as listed in Alexandria via LeMat-Bulk.

Properties
**Energy above the most stable polymorph in this dataset**: 0.000 eV/atom
**Total DFT energy (no corrections)**: -7.9169 eV per atom
**Symmetry**: I4/mmm (139)
**Energy of formation**: -61 meV per atom

a = 4.353 Å, b = 4.353 Å, c = 5.901 Å
α = 68.35°, β = 68.35°, γ = 90.00°
Fractional coordinates of all 5 atoms:
Co 0.372 0.372 0.257
Co 0.628 0.628 0.743
Nb 0.250 0.750 0.500
Nb 0.750 0.250 0.500
La 0.000 0.000 0.000

Record 4
First-principles (GGA-PBE) data for a relaxed structure of CsRb3Mo, as listed in Alexandria via LeMat-Bulk.

Properties
**Total DFT energy (no corrections)**: -1.4936 eV per atom
**Symmetry**: Pm-3m (221)
**Energy of formation**: 1424 meV per atom

a = 8.138 Å, b = 8.138 Å, c = 8.138 Å
α = 90.00°, β = 90.00°, γ = 90.00°
Last column: magnetic moment on the atom in μB.
Fractional coordinates of all 5 atoms:
Rb 0.000 0.000 0.500  -0.01
Rb 0.500 0.000 0.000  -0.01
Rb 0.000 0.500 0.000  -0.01
Mo 0.500 0.500 0.500  4.08
Cs 0.000 0.000 0.000  -0.01

Record 5
First-principles (GGA-PBE) data for a relaxed structure of Na2BeSnAu, as listed in Alexandria via LeMat-Bulk.

Properties
**Total DFT energy (no corrections)**: -2.4896 eV per atom
**Symmetry**: P4/mmm (123)
**Energy of formation**: 239 meV per atom

a = 5.476 Å, b = 4.408 Å, c = 5.476 Å
α = 90.00°, β = 90.00°, γ = 90.00°
Fractional coordinates of all 5 atoms:
Na 0.000 0.000 0.500
Na 0.500 0.000 0.000
Be 0.000 0.500 0.000
Au 0.000 0.000 0.000
Sn 0.500 0.500 0.500

Record 6
First-principles (GGA-PBE) data for a relaxed structure of CaPr3Nd6Y2, as listed in Alexandria via LeMat-Bulk.

Properties
**Total DFT energy (no corrections)**: -4.7881 eV per atom
**Symmetry**: C2/m (12)
**Energy of formation**: 35 meV per atom

a = 6.406 Å, b = 6.406 Å, c = 12.139 Å
α = 95.02°, β = 95.02°, γ = 120.03°
Fractional coordinates of all 12 atoms:
Nd 0.256 0.256 0.751
Nd 0.084 0.424 0.249
Nd 0.424 0.084 0.249
Nd 0.916 0.576 0.751
Nd 0.576 0.916 0.751
Nd 0.744 0.744 0.249
Pr 0.834 0.166 0.500
Pr 0.500 0.500 0.500
Pr 0.166 0.834 0.500
Y 0.667 0.333 0.000
Y 0.333 0.667 0.000
Ca 0.000 0.000 0.000

Record 7
First-principles (GGA-PBE) data for a relaxed structure of ScIN2O, as listed in Alexandria via LeMat-Bulk.

Properties
**Total DFT energy (no corrections)**: -4.8190 eV per atom
**Symmetry**: P4/mmm (123)

a = 3.922 Å, b = 3.922 Å, c = 6.633 Å
α = 90.00°, β = 90.00°, γ = 90.00°
Last column: magnetic moment on the atom in μB.
Fractional coordinates of all 5 atoms:
N 0.000 0.500 0.000  0.29
N 0.500 0.000 0.000  0.29
Sc 0.000 0.000 0.000  -0.01
O 0.500 0.500 0.500  0.06
I 0.000 0.000 0.500  0.04

Record 8
First-principles (GGA-PBE) data for a relaxed structure of MnBeTl, as listed in Alexandria via LeMat-Bulk.

Properties
**Energy above the most stable polymorph in this dataset**: 0.087 eV/atom
**Total DFT energy (no corrections)**: -4.4990 eV per atom
**Symmetry**: P3m1 (156)
**Energy of formation**: 588 meV per atom

a = 4.285 Å, b = 4.285 Å, c = 3.021 Å
α = 90.00°, β = 90.00°, γ = 120.00°
Last column: magnetic moment on the atom in μB.
Fractional coordinates of all 3 atoms:
Be 0.000 0.000 0.835  -0.08
Tl 0.667 0.333 0.833  -0.06
Mn 0.333 0.667 0.333  3.44

Record 9
First-principles (GGA-PBE) data for a relaxed structure of AcPb3Au3, as listed in Alexandria via LeMat-Bulk.

Properties
**Energy above the most stable polymorph in this dataset**: 0.445 eV/atom
**Total DFT energy (no corrections)**: -3.5284 eV per atom
**Symmetry**: Pm-3n (223)
**Energy of formation**: 52 meV per atom

a = 7.766 Å, b = 7.766 Å, c = 7.766 Å
α = 90.00°, β = 90.00°, γ = 90.00°
Fractional coordinates of all 14 atoms:
Au 0.250 0.000 0.500
Au 0.500 0.750 0.000
Au 0.000 0.500 0.750
Au 0.500 0.250 0.000
Au 0.000 0.500 0.250
Au 0.750 0.000 0.500
Pb 0.750 0.500 0.000
Pb 0.000 0.750 0.500
Pb 0.000 0.250 0.500
Pb 0.250 0.500 0.000
Pb 0.500 0.000 0.750
Pb 0.500 0.000 0.250
Ac 0.000 0.000 0.000
Ac 0.500 0.500 0.500

Record 10
First-principles (GGA-PBE) data for a relaxed structure of Sr5Mg2In, as listed in Alexandria via LeMat-Bulk.

Properties
**Total DFT energy (no corrections)**: -1.9158 eV per atom
**Symmetry**: Pbam (55)
**Energy of formation**: -124 meV per atom

a = 5.838 Å, b = 7.554 Å, c = 14.601 Å
α = 90.00°, β = 90.00°, γ = 90.00°
Fractional coordinates of all 16 atoms:
Mg 0.500 0.853 0.136
Mg 0.500 0.647 0.636
Mg 0.500 0.147 0.864
Mg 0.500 0.353 0.364
Sr 0.000 0.000 0.000
Sr 0.500 0.335 0.103
Sr 0.000 0.500 0.500
Sr 0.000 0.375 0.776
Sr 0.000 0.125 0.276
Sr 0.000 0.625 0.224
Sr 0.000 0.875 0.724
Sr 0.500 0.835 0.397
Sr 0.500 0.665 0.897
Sr 0.500 0.165 0.603
In 0.000 0.500 0.000
In 0.000 0.000 0.500

Record 11
First-principles (GGA-PBE) data for a relaxed structure of CsPu2GaI8, as listed in Alexandria via LeMat-Bulk.

Properties
**Total DFT energy (no corrections)**: -4.7327 eV per atom
**Symmetry**: P-1 (2)

a = 8.204 Å, b = 7.670 Å, c = 9.546 Å
α = 89.91°, β = 89.93°, γ = 86.86°
Last column: magnetic moment on the atom in μB.
Fractional coordinates of all 12 atoms:
I 0.179 0.719 0.220  -0.05
I 0.613 0.725 0.500  -0.06
I 0.821 0.280 0.220  -0.05
I 0.367 0.268 0.000  -0.06
I 0.821 0.281 0.780  -0.05
I 0.179 0.720 0.780  -0.05
I 0.387 0.275 0.500  -0.06
I 0.633 0.732 0.000  -0.06
Pu 0.500 0.500 0.757  5.18
Pu 0.500 0.500 0.243  5.18
Ga 0.000 0.000 0.000  -0.01
Cs 0.000 0.000 0.500  0.00

Record 12
First-principles (GGA-PBE) data for a relaxed structure of Pm12Sb5C2, as listed in Alexandria via LeMat-Bulk.

Properties
**Total DFT energy (no corrections)**: -5.6329 eV per atom
**Symmetry**: C2/m (12)

a = 7.739 Å, b = 9.458 Å, c = 9.533 Å
α = 105.47°, β = 90.00°, γ = 114.15°
Last column: magnetic moment on the atom in μB.
Fractional coordinates of all 19 atoms:
Sb 0.702 0.403 0.349  0.01
Sb 0.298 0.597 0.651  0.01
Sb 0.685 0.370 0.841  0.01
Sb 0.315 0.630 0.159  0.01
Sb 0.000 0.000 0.500  0.02
Pm 0.889 0.290 0.565  -0.08
Pm 0.094 0.695 0.922  0.08
Pm 0.504 0.008 0.189  -0.01
Pm 0.001 0.003 0.829  0.12
Pm 0.496 0.992 0.811  -0.01
Pm 0.602 0.695 0.922  0.08
Pm 0.111 0.710 0.435  -0.08
Pm 0.999 0.997 0.171  0.12
Pm 0.599 0.710 0.435  -0.08
Pm 0.401 0.290 0.565  -0.08
Pm 0.398 0.305 0.078  0.08
Pm 0.906 0.305 0.078  0.08
C 0.257 0.000 0.000  0.00
C 0.743 0.000 0.000  0.00

Record 13
First-principles (GGA-PBE) data for a relaxed structure of Pm2NdY3Se6, as listed in Alexandria via LeMat-Bulk.

Properties
**Total DFT energy (no corrections)**: -6.3531 eV per atom
**Symmetry**: C2/m (12)

a = 7.160 Å, b = 7.160 Å, c = 7.241 Å
α = 99.46°, β = 99.46°, γ = 120.31°
Fractional coordinates of all 12 atoms:
Se 0.248 0.248 0.739
Se 0.578 0.913 0.739
Se 0.752 0.752 0.261
Se 0.087 0.422 0.261
Se 0.913 0.578 0.739
Se 0.422 0.087 0.261
Y 0.834 0.166 0.500
Y 0.166 0.834 0.500
Y 0.500 0.500 0.500
Pm 0.666 0.334 0.000
Pm 0.334 0.666 0.000
Nd 0.000 0.000 0.000

Record 14
First-principles (GGA-PBE) data for a relaxed structure of Be2GaTeAs, as listed in Alexandria via LeMat-Bulk.

Properties
**Total DFT energy (no corrections)**: -3.0157 eV per atom
**Symmetry**: P4/mmm (123)

a = 4.268 Å, b = 5.997 Å, c = 4.268 Å
α = 90.00°, β = 90.00°, γ = 90.00°
Fractional coordinates of all 5 atoms:
As 0.000 0.000 0.000
Be 0.000 0.000 0.500
Be 0.500 0.000 0.000
Ga 0.500 0.500 0.500
Te 0.000 0.500 0.000

Record 15
First-principles (GGA-PBE) data for a relaxed structure of RhBr2F, as listed in Alexandria via LeMat-Bulk.

Properties
**Energy above the most stable polymorph in this dataset**: 0.677 eV/atom
**Total DFT energy (no corrections)**: -3.1618 eV per atom
**Symmetry**: Fm-3m (225)

a = 4.510 Å, b = 4.510 Å, c = 4.510 Å
α = 60.00°, β = 60.00°, γ = 60.00°
Fractional coordinates of all 4 atoms:
F 0.000 0.000 0.000
Br 0.750 0.750 0.750
Br 0.250 0.250 0.250
Rh 0.500 0.500 0.500

Record 16
First-principles (GGA-PBE) data for a relaxed structure of BaSnSe2N, as listed in Alexandria via LeMat-Bulk.

Properties
**Energy above the most stable polymorph in this dataset**: 1.080 eV/atom
**Total DFT energy (no corrections)**: -3.5299 eV per atom
**Symmetry**: P4/mmm (123)

a = 6.016 Å, b = 6.016 Å, c = 4.708 Å
α = 90.00°, β = 90.00°, γ = 90.00°
Last column: magnetic moment on the atom in μB.
Fractional coordinates of all 5 atoms:
Se 0.000 0.500 0.000  0.12
Se 0.500 0.000 0.000  0.12
Sn 0.500 0.500 0.500  -0.02
N 0.000 0.000 0.500  0.83
Ba 0.000 0.000 0.000  -0.02

Record 17
First-principles (GGA-PBE) data for a relaxed structure of Tc2Ir4Rh3, as listed in Alexandria via LeMat-Bulk.

Properties
**Energy above the most stable polymorph in this dataset**: 0.000 eV/atom
**Total DFT energy (no corrections)**: -8.8005 eV per atom
**Symmetry**: P-1 (2)
**Energy of formation**: -108 meV per atom

a = 4.774 Å, b = 8.486 Å, c = 7.020 Å
α = 71.86°, β = 89.83°, γ = 73.84°
Fractional coordinates of all 18 atoms:
Ir 0.445 0.944 0.196
Ir 0.333 0.500 0.248
Ir 0.667 0.500 0.752
Ir 0.775 0.281 0.524
Ir 0.225 0.719 0.476
Ir 0.555 0.056 0.804
Ir 0.999 0.168 0.916
Ir 0.001 0.832 0.084
Tc 0.889 0.388 0.138
Tc 0.334 0.166 0.416
Tc 0.111 0.612 0.862
Tc 0.666 0.834 0.584
Rh 0.556 0.721 0.970
Rh 0.890 0.056 0.307
Rh 0.222 0.388 0.639
Rh 0.444 0.279 0.030
Rh 0.110 0.944 0.693
Rh 0.778 0.612 0.361

Record 18
First-principles (GGA-PBE) data for a relaxed structure of MnMo3As, as listed in Alexandria via LeMat-Bulk.

Properties
**Energy above the most stable polymorph in this dataset**: 0.000 eV/atom
**Total DFT energy (no corrections)**: -8.1092 eV per atom
**Symmetry**: Pm-3m (221)
**Energy of formation**: 1153 meV per atom

a = 4.478 Å, b = 4.478 Å, c = 4.478 Å
α = 90.00°, β = 90.00°, γ = 90.00°
Fractional coordinates of all 5 atoms:
Mn 0.000 0.000 0.000
Mo 0.000 0.500 0.000
Mo 0.000 0.000 0.500
Mo 0.500 0.000 0.000
As 0.500 0.500 0.500

Record 19
First-principles (GGA-PBE) data for a relaxed structure of NaSr2DyCl8, as listed in Alexandria via LeMat-Bulk.

Properties
**Total DFT energy (no corrections)**: -4.2930 eV per atom
**Symmetry**: P2/m (10)

a = 6.631 Å, b = 6.544 Å, c = 8.788 Å
α = 90.00°, β = 90.00°, γ = 90.82°
Fractional coordinates of all 12 atoms:
Cl 0.823 0.201 0.224
Cl 0.692 0.712 0.500
Cl 0.303 0.277 0.000
Cl 0.697 0.723 0.000
Cl 0.177 0.799 0.224
Cl 0.308 0.288 0.500
Cl 0.177 0.799 0.776
Cl 0.823 0.201 0.776
Na 0.000 0.000 0.500
Sr 0.500 0.500 0.256
Sr 0.500 0.500 0.744
Dy 0.000 0.000 0.000

Record 20
First-principles (GGA-PBE) data for a relaxed structure of Nd3Sm3Hg4, as listed in Alexandria via LeMat-Bulk.

Properties
**Total DFT energy (no corrections)**: -3.3255 eV per atom
**Symmetry**: Amm2 (38)
**Energy of formation**: -359 meV per atom

a = 3.881 Å, b = 8.773 Å, c = 8.773 Å
α = 89.87°, β = 90.00°, γ = 90.00°
Fractional coordinates of all 10 atoms:
Hg 0.000 0.364 0.636
Hg 0.000 0.870 0.866
Hg 0.000 0.134 0.130
Hg 0.000 0.632 0.368
Sm 0.000 0.500 0.000
Sm 0.500 0.165 0.835
Sm 0.000 0.000 0.500
Nd 0.500 0.836 0.164
Nd 0.500 0.664 0.666
Nd 0.500 0.334 0.336

Record 21
First-principles (GGA-PBE) data for a relaxed structure of Y8AsSe4S3, as listed in Alexandria via LeMat-Bulk.

Properties
**Total DFT energy (no corrections)**: -7.0189 eV per atom
**Symmetry**: R-3m (166)

a = 8.030 Å, b = 8.116 Å, c = 8.030 Å
α = 119.65°, β = 120.00°, γ = 90.00°
Fractional coordinates of all 16 atoms:
Y 0.754 0.272 0.018
Y 0.246 0.728 0.982
Y 0.264 0.272 0.018
Y 0.246 0.728 0.492
Y 0.741 0.723 0.482
Y 0.754 0.272 0.508
Y 0.259 0.277 0.518
Y 0.736 0.728 0.982
S 0.500 0.500 0.000
S 0.000 0.500 0.500
S 0.500 0.500 0.500
Se 0.000 0.000 0.000
Se 0.500 0.000 0.500
Se 0.500 0.000 0.000
Se 0.000 0.000 0.500
As 0.000 0.500 0.000

Record 22
First-principles (GGA-PBE) data for a relaxed structure of NaLuAsAu, as listed in Alexandria via LeMat-Bulk.

Properties
**Total DFT energy (no corrections)**: -4.1518 eV per atom
**Symmetry**: F-43m (216)
**Energy of formation**: -710 meV per atom

a = 4.938 Å, b = 4.938 Å, c = 4.938 Å
α = 60.00°, β = 60.00°, γ = 60.00°
Fractional coordinates of all 4 atoms:
Lu 0.500 0.500 0.500
As 0.250 0.250 0.250
Na 0.000 0.000 0.000
Au 0.750 0.750 0.750

Record 23
First-principles (GGA-PBE) data for a relaxed structure of RbTaBe, as listed in Alexandria via LeMat-Bulk.

Properties
**Energy above the most stable polymorph in this dataset**: 1.973 eV/atom
**Total DFT energy (no corrections)**: -3.0909 eV per atom
**Symmetry**: P6_3/mmc (194)
**Energy of formation**: 2425 meV per atom

a = 5.887 Å, b = 5.887 Å, c = 9.388 Å
α = 90.00°, β = 90.00°, γ = 120.00°
Last column: magnetic moment on the atom in μB.
Fractional coordinates of all 6 atoms:
Rb 0.667 0.333 0.750  0.02
Rb 0.333 0.667 0.250  0.02
Ta 0.000 0.000 0.500  1.58
Ta 0.000 0.000 0.000  1.58
Be 0.000 0.000 0.750  0.04
Be 0.000 0.000 0.250  0.04

Record 24
First-principles (GGA-PBE) data for a relaxed structure of ErTiZnNi, as listed in Alexandria via LeMat-Bulk.

Properties
**Total DFT energy (no corrections)**: -5.0525 eV per atom
**Symmetry**: F-43m (216)
**Energy of formation**: -174 meV per atom

a = 4.630 Å, b = 4.630 Å, c = 4.630 Å
α = 60.00°, β = 60.00°, γ = 60.00°
Last column: magnetic moment on the atom in μB.
Fractional coordinates of all 4 atoms:
Er 0.500 0.500 0.500  0.14
Ni 0.750 0.750 0.750  0.10
Ti 0.000 0.000 0.000  0.69
Zn 0.250 0.250 0.250  0.01